DFT (meta-GGA SCAN) results for a PBEsol-optimized structure of ZrFe.

Calculated values
SG: No. 216
Formation enthalpy at 0 K: 1670.9 meV per atom

Geometry as CIF:
```
data_ZrFe
_chemical_formula_sum 'Zr4 Fe4'
_cell_length_a 5.479
_cell_length_b 5.479
_cell_length_c 5.479
_cell_angle_alpha 90.00
_cell_angle_beta 90.00
_cell_angle_gamma 90.00
_space_group_name_H-M_alt 'P 1'
_space_group_IT_number 1
loop_
_space_group_symop_operation_xyz
'x,y,z'
loop_
_atom_site_label
_atom_site_fract_x
_atom_site_fract_y
_atom_site_fract_z
Zr1 0.000 0.000 0.000
Zr2 0.000 0.500 0.500
Zr3 0.500 0.000 0.500
Zr4 0.500 0.500 0.000
Fe1 0.250 0.250 0.250
Fe2 0.250 0.750 0.750
Fe3 0.750 0.250 0.750
Fe4 0.750 0.750 0.250
```

---

DFT (meta-GGA SCAN) results for a PBEsol-optimized structure of Zr4Fe.

Calculated values
SG: No. 87
Formation enthalpy at 0 K: -25.5 meV per atom

Geometry as CIF:
```
data_Zr4Fe
_chemical_formula_sum 'Zr8 Fe2'
_cell_length_a 7.734
_cell_length_b 7.734
_cell_length_c 3.221
_cell_angle_alpha 90.00
_cell_angle_beta 90.00
_cell_angle_gamma 90.00
_space_group_name_H-M_alt 'P 1'
_space_group_IT_number 1
loop_
_space_group_symop_operation_xyz
'x,y,z'
loop_
_atom_site_label
_atom_site_fract_x
_atom_site_fract_y
_atom_site_fract_z
Zr1 0.082 0.272 0.000
Zr2 0.228 0.582 0.500
Zr3 0.272 0.918 0.000
Zr4 0.418 0.228 0.500
Zr5 0.582 0.772 0.500
Zr6 0.728 0.082 0.000
Zr7 0.772 0.418 0.500
Zr8 0.918 0.728 0.000
Fe1 0.000 0.000 0.500
Fe2 0.500 0.500 0.000
```

---

DFT (meta-GGA SCAN) results for a PBEsol-optimized structure of ZrFe3.

Calculated values
SG: No. 10
Formation enthalpy at 0 K: 89.2 meV per atom

Geometry as CIF:
```
data_ZrFe3
_chemical_formula_sum 'Zr1 Fe3'
_cell_length_a 2.701
_cell_length_b 3.923
_cell_length_c 5.158
_cell_angle_alpha 90.00
_cell_angle_beta 103.88
_cell_angle_gamma 90.00
_space_group_name_H-M_alt 'P 1'
_space_group_IT_number 1
loop_
_space_group_symop_operation_xyz
'x,y,z'
loop_
_atom_site_label
_atom_site_fract_x
_atom_site_fract_y
_atom_site_fract_z
Zr1 0.000 0.000 0.000
Fe1 0.263 0.500 0.714
Fe2 0.500 0.000 0.500
Fe3 0.737 0.500 0.286
```